1.
Pr8Y2Th3 PBE-GGA optimized geometry; space-group type = No. 12; uncorrected energy = -70.4 eV for the cell shown; formation energy = 0.23 eV per atom
1.0
9.103 -1.150 -5.175
-1.944 9.492 -5.530
-3.543 -1.932 9.184
Pr Y Th
8 2 3
direct
0.014 0.616 0.231
0.986 0.384 0.769
0.164 0.254 0.507
0.836 0.746 0.493
0.641 0.723 0.959
0.641 0.236 0.959
0.359 0.764 0.041
0.359 0.277 0.041
0.422 0.190 0.379
0.578 0.810 0.621
0.500 0.000 0.000
0.000 0.238 0.000
0.000 0.762 0.000


2.
PrY2Th2 PBE-GGA optimized geometry; space-group type = No. 164; energy above the most stable polymorph in this dataset = 19 meV/atom; uncorrected energy = -32.4 eV for the cell shown; formation energy = 0.03 eV per atom
1.0
-0.135 -1.048 -3.437
-2.668 -0.867 2.250
-7.031 12.480 -3.531
Pr Y Th
1 2 2
direct
0.000 0.000 0.500
0.667 0.333 0.702
0.333 0.667 0.298
0.333 0.667 0.902
0.667 0.333 0.098


Q: Among the records above, which one has the highest uncorrected energy?
A: PrY2Th2


Q: The lowest uncorrected energy belongs to which entry?
A: Pr8Y2Th3


Q: What is the formula in the second record?
A: PrY2Th2


Q: The lowest formation energy belongs to which entry?
A: PrY2Th2